No. 1
A relaxed structure of K2AsAu, computed with PBE.

Its formation energy is -0.109 eV/atom. As for the total magnetization: 0.0 μB/f.u. Its crystal system is tetragonal. For the total DFT energy (no corrections), the calculation gives -10.56 eV/cell.

Lattice parameters (Å, degrees): 5.958 5.958 4.639 67.07 67.07 45.78
Fractional positions:
As (0.750, 0.750, 0.750)
Au (0.250, 0.250, 0.250)
K (0.000, 0.000, 0.000)
K (0.500, 0.500, 0.500)

=====

No. 2
A relaxed structure of LaPtRh2, computed with PBE.

Its formation energy is -0.304 eV/atom. As for the total magnetization: 0.7 μB/f.u. Its crystal system is cubic. For the total DFT energy (no corrections), the calculation gives -26.89 eV/cell.

Lattice parameters (Å, degrees): 4.729 4.729 4.729 60.00 60.00 60.00
Last column: magnetic moment on the atom in μB.
Fractional positions:
La (0.500, 0.500, 0.500)  -0.01
Pt (0.250, 0.250, 0.250)  0.04
Rh (0.000, 0.000, 0.000)  0.38
Rh (0.750, 0.750, 0.750)  0.28